# PuMgPa2Sb4

A relaxed structure of PuMgPa2Sb4 (GGA-PBE, the Alexandria database).

Space group: I-4m2
Total energy (eV/atom): -6.85
Raw formation energy (eV/f.u.): -3.4
Density of states at the Fermi level (states/eV per cell): 19.8

Unit cell a=6.184 b=6.184 c=7.585 alpha=114.06 beta=114.06 gamma=90.00
Last column: magnetic moment on the atom in μB.
Fractional coordinates of all 8 atoms:
Pa  0.250  0.750  0.500  -0.74
Pu  0.750  0.250  0.500  -5.31
Sb  0.251  0.251  0.501  0.04
Pa  0.000  0.000  0.000  -0.77
Sb  0.749  0.749  0.499  0.04
Sb  0.002  0.502  0.003  0.04
Mg  0.500  0.500  0.000  0.00
Sb  0.498  0.998  0.997  0.04



# Rb2MgPaS4

A relaxed structure of Rb2MgPaS4 (GGA-PBE, the Alexandria database).

Space group: P2/m
Total energy (eV/atom): -5.12
Raw formation energy (eV/f.u.): -11.4
Density of states at the Fermi level (states/eV per cell): 5.5

Unit cell a=4.053 b=6.907 c=8.043 alpha=107.22 beta=90.00 gamma=90.00
Last column: magnetic moment on the atom in μB.
Fractional coordinates of all 8 atoms:
S  0.000  0.732  0.194  -0.02
Rb  0.000  0.500  0.500  0.00
S  0.000  0.268  0.806  -0.02
S  0.500  0.773  0.817  -0.01
Pa  0.500  0.500  0.000  0.95
S  0.500  0.227  0.183  -0.01
Mg  0.000  0.000  0.000  0.00
Rb  0.500  0.000  0.500  0.00



# RbMgPaS4

A relaxed structure of RbMgPaS4 (GGA-PBE, the Alexandria database).

Space group: Imma
Total energy (eV/atom): -5.47
Raw formation energy (eV/f.u.): -9.7
Density of states at the Fermi level (states/eV per cell): 0.0

Unit cell a=8.318 b=8.243 c=8.569 alpha=121.32 beta=90.00 gamma=120.30
Fractional coordinates of all 14 atoms:
S  0.696  0.997  0.749
S  0.726  0.453  0.667
Mg  0.000  0.500  0.500
S  0.274  0.547  0.333
Pa  0.500  0.000  0.500
S  0.301  0.997  0.749
S  0.699  0.003  0.251
Pa  0.500  0.000  0.000
S  0.304  0.003  0.251
Rb  0.148  0.296  0.898
Mg  0.500  0.500  0.500
S  0.726  0.453  0.286
Rb  0.852  0.704  0.102
S  0.274  0.547  0.714



# Rb3MgPa3S8

A relaxed structure of Rb3MgPa3S8 (GGA-PBE, the Alexandria database).

Space group: R-3m
Total energy (eV/atom): -5.88
Raw formation energy (eV/f.u.): -22.3
Density of states at the Fermi level (states/eV per cell): 19.1

Unit cell a=8.000 b=7.999 c=9.130 alpha=115.97 beta=90.00 gamma=120.00
Last column: magnetic moment on the atom in μB.
Fractional coordinates of all 15 atoms:
S  0.733  0.959  0.685  -0.03
S  0.774  0.548  0.315  -0.03
S  0.226  0.959  0.685  -0.03
Rb  0.500  0.500  0.000  0.00
Rb  0.000  0.000  0.000  0.00
S  0.268  0.536  0.304  -0.04
S  0.774  0.041  0.315  -0.03
Pa  0.000  0.500  0.500  1.13
Rb  0.000  0.500  0.000  0.00
S  0.267  0.041  0.315  -0.03
S  0.226  0.452  0.685  -0.03
S  0.732  0.464  0.696  -0.04
Pa  0.500  0.000  0.500  1.13
Mg  0.000  0.000  0.500  0.00
Pa  0.500  0.500  0.500  1.13



# RbMgPaSe4

A relaxed structure of RbMgPaSe4 (GGA-PBE, the Alexandria database).

Space group: Imma
Total energy (eV/atom): -4.93
Raw formation energy (eV/f.u.): -8.5

Unit cell a=8.489 b=8.735 c=8.901 alpha=120.63 beta=90.00 gamma=119.07
Fractional coordinates of all 14 atoms:
Se  0.708  0.004  0.252
Rb  0.156  0.313  0.906
Se  0.292  0.996  0.748
Se  0.280  0.560  0.723
Se  0.720  0.440  0.277
Mg  0.000  0.500  0.500
Se  0.280  0.560  0.337
Mg  0.500  0.500  0.500
Se  0.296  0.004  0.252
Se  0.704  0.996  0.748
Pa  0.500  0.000  0.000
Rb  0.844  0.687  0.094
Se  0.720  0.440  0.663
Pa  0.500  0.000  0.500



# Rb3MgPa3Se8

A relaxed structure of Rb3MgPa3Se8 (GGA-PBE, the Alexandria database).

Space group: R-3m
Total energy (eV/atom): -5.38
Raw formation energy (eV/f.u.): -19.9
Density of states at the Fermi level (states/eV per cell): 19.8

Unit cell a=8.316 b=8.316 c=9.527 alpha=115.87 beta=90.00 gamma=120.00
Last column: magnetic moment on the atom in μB.
Fractional coordinates of all 15 atoms:
Rb  0.500  0.500  0.000  0.00
Mg  0.000  0.000  0.500  0.00
Se  0.772  0.038  0.310  -0.03
Pa  0.500  0.000  0.500  1.18
Se  0.734  0.962  0.690  -0.03
Se  0.266  0.533  0.299  -0.03
Rb  0.000  0.000  0.000  0.00
Se  0.772  0.544  0.310  -0.03
Se  0.734  0.467  0.701  -0.03
Se  0.266  0.038  0.310  -0.03
Se  0.228  0.962  0.690  -0.03
Pa  0.500  0.500  0.500  1.18
Pa  0.000  0.500  0.500  1.18
Se  0.228  0.456  0.690  -0.03
Rb  0.000  0.500  0.000  0.00



# Rb2MgPa2Te6

A relaxed structure of Rb2MgPa2Te6 (GGA-PBE, the Alexandria database).

Space group: C2/m
Total energy (eV/atom): -4.69
Raw formation energy (eV/f.u.): -10.2
Density of states at the Fermi level (states/eV per cell): 12.2

Unit cell a=7.615 b=7.615 c=9.213 alpha=97.97 beta=97.97 gamma=119.97
Last column: magnetic moment on the atom in μB.
Fractional coordinates of all 11 atoms:
Rb  0.167  0.833  0.000  0.00
Te  0.265  0.265  0.304  -0.03
Rb  0.833  0.167  0.000  0.00
Te  0.735  0.735  0.696  -0.03
Te  0.933  0.604  0.304  -0.03
Pa  0.333  0.667  0.500  1.00
Te  0.396  0.067  0.696  -0.03
Mg  0.000  0.000  0.500  0.00
Te  0.067  0.396  0.696  -0.03
Pa  0.667  0.333  0.500  1.00
Te  0.604  0.933  0.304  -0.03



# Rb2MgPaTe4

A relaxed structure of Rb2MgPaTe4 (GGA-PBE, the Alexandria database).

Space group: P2/m
Total energy (eV/atom): -4.15
Raw formation energy (eV/f.u.): -7.6
Density of states at the Fermi level (states/eV per cell): 5.7

Unit cell a=4.510 b=7.800 c=8.943 alpha=107.49 beta=90.00 gamma=90.00
Last column: magnetic moment on the atom in μB.
Fractional coordinates of all 8 atoms:
Te  0.500  0.225  0.188  -0.02
Te  0.500  0.775  0.812  -0.02
Pa  0.500  0.500  0.000  1.05
Te  0.000  0.732  0.202  -0.03
Mg  0.000  0.000  0.000  0.00
Rb  0.000  0.500  0.500  0.00
Te  0.000  0.268  0.798  -0.03
Rb  0.500  0.000  0.500  0.00



The lowest raw formation energy belongs to which entry? Rb3MgPa3S8



Please write out number 2 again, unchanged.
# Rb2MgPaS4

A relaxed structure of Rb2MgPaS4 (GGA-PBE, the Alexandria database).

Space group: P2/m
Total energy (eV/atom): -5.12
Raw formation energy (eV/f.u.): -11.4
Density of states at the Fermi level (states/eV per cell): 5.5

Unit cell a=4.053 b=6.907 c=8.043 alpha=107.22 beta=90.00 gamma=90.00
Last column: magnetic moment on the atom in μB.
Fractional coordinates of all 8 atoms:
S  0.000  0.732  0.194  -0.02
Rb  0.000  0.500  0.500  0.00
S  0.000  0.268  0.806  -0.02
S  0.500  0.773  0.817  -0.01
Pa  0.500  0.500  0.000  0.95
S  0.500  0.227  0.183  -0.01
Mg  0.000  0.000  0.000  0.00
Rb  0.500  0.000  0.500  0.00



What is the formula in the fifth record? RbMgPaSe4



Copy entry 8 word for word.
# Rb2MgPaTe4

A relaxed structure of Rb2MgPaTe4 (GGA-PBE, the Alexandria database).

Space group: P2/m
Total energy (eV/atom): -4.15
Raw formation energy (eV/f.u.): -7.6
Density of states at the Fermi level (states/eV per cell): 5.7

Unit cell a=4.510 b=7.800 c=8.943 alpha=107.49 beta=90.00 gamma=90.00
Last column: magnetic moment on the atom in μB.
Fractional coordinates of all 8 atoms:
Te  0.500  0.225  0.188  -0.02
Te  0.500  0.775  0.812  -0.02
Pa  0.500  0.500  0.000  1.05
Te  0.000  0.732  0.202  -0.03
Mg  0.000  0.000  0.000  0.00
Rb  0.000  0.500  0.500  0.00
Te  0.000  0.268  0.798  -0.03
Rb  0.500  0.000  0.500  0.00